# 1
Pu3Rh | PBE | relaxed

a = 4.8056 Å, b = 4.8056 Å, c = 4.8056 Å
α = 60.00°, β = 60.00°, γ = 60.00°
Fractional positions:
Pu  0.2500  0.2500  0.2500
Pu  0.0000  0.0000  0.0000
Rh  0.5000  0.5000  0.5000
Pu  0.7500  0.7500  0.7500

Computed properties:
- Fermi-level density of states: 15.949 states/eV/cell
- Space-group type: Fm-3m (225)
- Electronic total energy: -12.70 eV per atom



# 2
Pu2Rh | PBE | relaxed

a = 4.4460 Å, b = 7.0512 Å, c = 8.9374 Å
α = 90.00°, β = 90.00°, γ = 90.00°
Fractional positions:
Pu  0.7500  0.3456  0.0856
Pu  0.7500  0.9832  0.8232
Pu  0.2500  0.1544  0.5856
Pu  0.2500  0.5168  0.3232
Rh  0.7500  0.7529  0.1001
Pu  0.7500  0.4832  0.6768
Rh  0.7500  0.2529  0.3999
Pu  0.7500  0.8456  0.4144
Rh  0.2500  0.2471  0.8999
Pu  0.2500  0.0168  0.1768
Pu  0.2500  0.6544  0.9144
Rh  0.2500  0.7471  0.6001

Computed properties:
- Fermi-level density of states: 51.299 states/eV/cell
- Space-group type: Pnma (62)
- Electronic total energy: -12.27 eV per atom



# 3
PuRh | PBE | relaxed

a = 3.9611 Å, b = 3.9611 Å, c = 3.9611 Å
α = 60.00°, β = 60.00°, γ = 60.00°
Fractional positions:
Rh  0.0000  0.0000  0.0000
Pu  0.5000  0.5000  0.5000

Computed properties:
- Fermi-level density of states: 6.513 states/eV/cell
- Space-group type: Fm-3m (225)
- Electronic total energy: -11.18 eV per atom



# 4
Pu4Rh | PBE | relaxed

a = 5.3568 Å, b = 5.3568 Å, c = 5.3568 Å
α = 90.00°, β = 90.00°, γ = 90.00°
Fractional positions:
Pu  0.5000  0.5000  0.0000
Pu  0.0000  0.0000  0.0000
Pu  0.0000  0.5000  0.5000
Pu  0.5000  0.0000  0.5000
Rh  0.5000  0.5000  0.5000

Computed properties:
- Fermi-level density of states: 31.404 states/eV/cell
- Space-group type: Pm-3m (221)
- Electronic total energy: -12.70 eV per atom
- E above lowest polymorph: 0 meV per atom



# 5
Pu3Rh | PBE | relaxed

a = 3.8826 Å, b = 3.8826 Å, c = 7.7340 Å
α = 104.54°, β = 104.54°, γ = 90.00°
Fractional positions:
Rh  0.0000  0.0000  0.0000
Pu  0.8129  0.8129  0.6258
Pu  0.5000  0.5000  0.0000
Pu  0.1871  0.1871  0.3742

Computed properties:
- Fermi-level density of states: 19.548 states/eV/cell
- Space-group type: I4/mmm (139)
- Electronic total energy: -12.52 eV per atom



# 6
Pu4Rh | PBE | relaxed

a = 7.2898 Å, b = 7.2898 Å, c = 7.2898 Å
α = 60.00°, β = 60.00°, γ = 60.00°
Fractional positions:
Pu  0.8940  0.8940  0.3181
Pu  0.3560  0.9319  0.3560
Pu  0.8940  0.8940  0.8940
Pu  0.8940  0.3181  0.8940
Pu  0.3560  0.3560  0.9319
Rh  0.5000  0.5000  0.5000
Pu  0.9319  0.3560  0.3560
Pu  0.3181  0.8940  0.8940
Pu  0.3560  0.3560  0.3560
Rh  0.7500  0.7500  0.7500

Computed properties:
- Fermi-level density of states: 46.601 states/eV/cell
- Space-group type: Fd-3m (227)
- Electronic total energy: -12.60 eV per atom
- E above lowest polymorph: 100 meV per atom



# 7
Pu3Rh | PBE | relaxed

a = 4.8485 Å, b = 2.9679 Å, c = 5.6652 Å
α = 90.00°, β = 90.00°, γ = 90.00°
Fractional positions:
Rh  0.0000  0.0000  0.9511
Pu  0.5000  0.0000  0.7451
Pu  0.0000  0.5000  0.4243
Pu  0.5000  0.5000  0.2129

Computed properties:
- Fermi-level density of states: 13.529 states/eV/cell
- Space-group type: Pmm2 (25)
- Electronic total energy: -12.64 eV per atom



# 8
Pu3Rh | PBE | relaxed

a = 6.4771 Å, b = 6.4773 Å, c = 5.0105 Å
α = 90.00°, β = 90.00°, γ = 60.00°
Fractional positions:
Rh  0.3333  0.3333  0.7500
Pu  0.8235  0.8235  0.7500
Pu  0.1765  0.1765  0.2500
Pu  0.1765  0.6470  0.2500
Pu  0.8235  0.3530  0.7500
Rh  0.6667  0.6667  0.2500
Pu  0.6470  0.1765  0.2500
Pu  0.3530  0.8235  0.7500

Computed properties:
- Fermi-level density of states: 32.515 states/eV/cell
- Space-group type: P6_3/mmc (194)
- Electronic total energy: -12.62 eV per atom



# 9
Pu5Rh4 | PBE | relaxed

a = 4.0422 Å, b = 5.7438 Å, c = 9.4250 Å
α = 76.51°, β = 77.62°, γ = 69.40°
Fractional positions:
Rh  0.5416  0.7581  0.1588
Pu  0.1041  0.1879  0.6040
Rh  0.6335  0.3427  0.3902
Rh  0.4584  0.2419  0.8412
Rh  0.3664  0.6573  0.6098
Pu  0.2433  0.3413  0.1720
Pu  0.7567  0.6587  0.8280
Pu  0.0000  0.0000  0.0000
Pu  0.8959  0.8121  0.3960

Computed properties:
- Fermi-level density of states: 49.157 states/eV/cell
- Space-group type: C2/m (12)
- Electronic total energy: -11.54 eV per atom
- E above lowest polymorph: 0 meV per atom



# 10
Pu3Ru2Rh | PBE | relaxed

a = 3.3495 Å, b = 3.3495 Å, c = 10.4529 Å
α = 90.00°, β = 90.00°, γ = 90.00°
Fractional positions:
Ru  0.5000  0.5000  0.8335
Pu  0.0000  0.0000  0.6685
Ru  0.5000  0.5000  0.1665
Pu  0.0000  0.0000  0.0000
Pu  0.0000  0.0000  0.3315
Rh  0.5000  0.5000  0.5000

Computed properties:
- Fermi-level density of states: 18.404 states/eV/cell
- Space-group type: P4/mmm (123)
- Electronic total energy: -11.72 eV per atom



# 11
Pu4RuRh3 | PBE | relaxed

a = 4.8199 Å, b = 4.8199 Å, c = 7.6369 Å
α = 108.27°, β = 108.27°, γ = 90.50°
Fractional positions:
Pu  0.1247  0.1248  0.2493
Rh  0.0000  0.5000  0.0000
Pu  0.8753  0.8752  0.7507
Pu  0.6248  0.6247  0.2493
Ru  0.5000  0.0000  0.0000
Pu  0.3752  0.3753  0.7507
Rh  0.2515  0.7515  0.5028
Rh  0.7485  0.2485  0.4972

Computed properties:
- Fermi-level density of states: 29.514 states/eV/cell
- Space-group type: Fmmm (69)
- Electronic total energy: -11.44 eV per atom



# 12
Pu4RuRh | PBE | relaxed

a = 6.0982 Å, b = 6.7499 Å, c = 6.7499 Å
α = 90.00°, β = 90.00°, γ = 90.00°
Fractional positions:
Rh  0.2500  0.0000  0.0000
Pu  0.0000  0.8290  0.3359
Pu  0.5000  0.1710  0.3359
Ru  0.7500  0.5000  0.5000
Pu  0.5000  0.6641  0.1710
Ru  0.2500  0.5000  0.5000
Pu  0.0000  0.1710  0.6641
Pu  0.0000  0.6641  0.8290
Pu  0.5000  0.3359  0.8290
Rh  0.7500  0.0000  0.0000
Pu  0.5000  0.8290  0.6641
Pu  0.0000  0.3359  0.1710

Computed properties:
- Fermi-level density of states: 50.447 states/eV/cell
- Space-group type: P4/mcc (124)
- Electronic total energy: -12.47 eV per atom



| no. | formation enthalpy at 0 K (eV/atom) |
| --- | --- |
| 1 | -0.1112 |
| 2 | -0.2661 |
| 3 | -0.3396 |
| 4 | 0.2341 |
| 5 | 0.0711 |
| 6 | 0.3340 |
| 7 | -0.0561 |
| 8 | -0.0304 |
| 9 | -0.3093 |
| 10 | -0.2400 |
| 11 | -0.3561 |
| 12 | -0.1437 |